# Zn2SbRhPb (GGA-PBE, optimized geometry)
data_Zn2SbRhPb
_space_group_name_H-M_alt 'P 4/m m m'
_space_group_IT_number 123
_space_group_name_Hall '-P 4 2'
_cell_length_a 4.875
_cell_length_b 4.875
_cell_length_c 5.142
_cell_angle_alpha 90.00
_cell_angle_beta 90.00
_cell_angle_gamma 90.00
loop_
_atom_site_label
_atom_site_fract_x
_atom_site_fract_y
_atom_site_fract_z
Zn1 0.000 0.500 0.000
Sb1 0.000 0.000 0.500
Rh1 0.500 0.500 0.000
Pb1 0.500 0.500 0.500
# - final energy (eV per atom) = -3.3311

***

# Cd3SiOs (GGA-PBE, optimized geometry)
data_Cd3SiOs
_space_group_name_H-M_alt 'P m -3 m'
_space_group_IT_number 221
_space_group_name_Hall '-P 4 2 3'
_cell_length_a 5.167
_cell_length_b 5.167
_cell_length_c 5.167
_cell_angle_alpha 90.00
_cell_angle_beta 90.00
_cell_angle_gamma 90.00
loop_
_atom_site_label
_atom_site_fract_x
_atom_site_fract_y
_atom_site_fract_z
Cd1 0.000 0.000 0.500
Si1 0.500 0.500 0.500
Os1 0.000 0.000 0.000
# - distance to the lowest polymorph of the same formula (meV per atom) = 0.0

***

# CsGaB3 (GGA-PBE, optimized geometry)
data_CsGaB3
_space_group_name_H-M_alt 'P m -3 m'
_space_group_IT_number 221
_space_group_name_Hall '-P 4 2 3'
_cell_length_a 5.071
_cell_length_b 5.071
_cell_length_c 5.071
_cell_angle_alpha 90.00
_cell_angle_beta 90.00
_cell_angle_gamma 90.00
loop_
_atom_site_label
_atom_site_fract_x
_atom_site_fract_y
_atom_site_fract_z
Cs1 0.000 0.000 0.000
Ga1 0.500 0.500 0.500
B1 0.000 0.000 0.500
# - final energy (eV per atom) = -1.5367

***

# RbCoPb2 (GGA-PBE, optimized geometry)
data_RbCoPb2
_space_group_name_H-M_alt 'F m -3 m'
_space_group_IT_number 225
_space_group_name_Hall '-F 4 2 3'
_cell_length_a 7.460
_cell_length_b 7.460
_cell_length_c 7.460
_cell_angle_alpha 90.00
_cell_angle_beta 90.00
_cell_angle_gamma 90.00
loop_
_atom_site_label
_atom_site_fract_x
_atom_site_fract_y
_atom_site_fract_z
Rb1 0.000 0.000 0.000
Co1 0.000 0.000 0.500
Pb1 0.250 0.250 0.250
# - distance to the lowest polymorph of the same formula (meV per atom) = 463.5

***

no.,calculated density (g/cm³),magnetic moment (μB/f.u.)
1,7.6,0.00
2,6.7,0.00
3,3.0,0.00
4,8.9,0.00